## La2Ag6Pd3 (PBE-GGA)

Data for crystalline La2Ag6Pd3 at its relaxed geometry.

Output
**Energy of formation**: -3.307 eV per formula unit

Cell: 4.287 7.994 7.994 Å, 120.00 90.00 90.00°
Positions (direct):
La  0.000  0.667  0.333
La  0.000  0.333  0.667
Ag  0.500  0.000  0.248
Ag  0.000  0.000  0.796
Ag  0.500  0.752  0.752
Ag  0.500  0.248  0.000
Ag  0.000  0.204  0.204
Ag  0.000  0.796  0.000
Pd  0.500  0.417  0.417
Pd  0.500  0.583  0.000
Pd  0.500  0.000  0.583

---

## NbGaSnCl2 (PBE-GGA)

Data for crystalline NbGaSnCl2 at its relaxed geometry.

Output
**Formation energy (no corrections)**: 212 kJ/mol of formula units

Cell: 4.690 5.813 4.690 Å, 90.00 90.00 90.00°
Positions (direct):
Sn  0.500  0.500  0.500
Ga  0.000  0.000  0.000
Cl  0.000  0.000  0.500
Cl  0.500  0.000  0.000
Nb  0.000  0.500  0.000

---

## HfMgFe3 (PBE-GGA)

Data for crystalline HfMgFe3 at its relaxed geometry.

Output
**Energy of formation**: 5.854 eV per formula unit
**Energy above the most stable polymorph in this dataset**: 0 meV per atom

Cell: 4.355 4.355 4.355 Å, 90.00 90.00 90.00°
Positions (direct):
Fe  0.500  0.000  0.000
Fe  0.000  0.500  0.000
Fe  0.000  0.000  0.500
Hf  0.500  0.500  0.500
Mg  0.000  0.000  0.000